# CaVRu

CaVRu after structural relaxation (PBE-GGA, the Alexandria database).

Output
* DFT formation energy: 0.13 eV per atom
* N(E_F): 0.77 states/eV per atom
* calculated volume: 290 Å³ per cell

Lattice parameters (Å, degrees): 8.9264 8.9264 8.4882 91.89 91.89 25.38
Last column: nearest neighbours and their distance in Å.
Sites, in units of the cell vectors:
Ca 0.0634 0.0634 0.3495  2 Ru 2.85-2.97
Ca 0.4012 0.4012 0.1251  4 Ru 3.11-3.20, 4 V 3.24-3.46
Ca 0.5988 0.5988 0.8749  4 Ru 3.11-3.20, 4 V 3.24-3.46
Ca 0.9366 0.9366 0.6505  2 Ru 2.85-2.97
V 0.2472 0.2472 0.8733  4 Ru 2.36-2.44
V 0.2487 0.2487 0.3756  4 Ru 2.38-2.52
V 0.7513 0.7513 0.6244  4 Ru 2.38-2.52
V 0.7528 0.7528 0.1267  4 Ru 2.36-2.44
Ru 0.1736 0.1736 0.6240  4 V 2.38-2.52
Ru 0.1769 0.1769 0.1159  4 V 2.36-2.50
Ru 0.8231 0.8231 0.8841  4 V 2.36-2.50
Ru 0.8264 0.8264 0.3760  4 V 2.38-2.52